(1)
DFT (PBEsol) results for crystalline Li2PAu at its relaxed geometry.

Unit cell a=2.809 b=2.809 c=8.811 alpha=90.00 beta=90.00 gamma=120.00
Atoms (fractional coordinates):
1 Li 0.000 0.000 0.713
2 Li 0.000 0.000 0.287
3 Au 0.000 0.000 0.000
4 P 0.667 0.333 0.500

Computed properties:
formation enthalpy at 0 K: -0.270 eV/atom
total magnetic moment: 0.00 μB per cell
ρ: 6.67 g/cm³
symmetry: No. 187
N(E_F): 1.10 states/eV/cell

=====

(2)
DFT (PBEsol) results for crystalline Li2PAu at its relaxed geometry.

Unit cell a=2.743 b=4.347 c=5.121 alpha=98.31 beta=90.00 gamma=108.39
Atoms (fractional coordinates):
1 Li 0.257 0.515 0.276
2 Li 0.743 0.485 0.724
3 Au 0.500 0.000 0.000
4 P 0.000 0.000 0.500

Computed properties:
formation enthalpy at 0 K: -0.344 eV/atom
total magnetic moment: 0.00 μB per cell
ρ: 7.01 g/cm³
symmetry: No. 12
N(E_F): 0.87 states/eV/cell